[1]
BaSr3Ir: optimized geometry, GGA-PBE.

Structure (POSCAR):
```
BaSr3Ir
1.0
11.5503 0.0000 0.0000
0.0000 7.3361 0.0000
-5.7774 0.0000 10.1864
Ba Sr Ir
4 12 4
direct
0.1887 0.0347 0.1324
0.1887 0.4653 0.6324
0.8113 0.5347 0.3676
0.8113 0.9653 0.8676
0.1287 0.5693 0.2444
0.1287 0.9307 0.7444
0.3316 0.0354 0.5052
0.3316 0.4646 0.0052
0.4962 0.6090 0.6326
0.4962 0.8910 0.1326
0.5038 0.1090 0.8674
0.5038 0.3910 0.3674
0.6684 0.5354 0.9948
0.6684 0.9646 0.4948
0.8713 0.0693 0.2556
0.8713 0.4307 0.7556
0.3888 0.7259 0.8306
0.3888 0.7741 0.3306
0.6112 0.2259 0.6694
0.6112 0.2741 0.1694
```

Results
The calculation puts the energy at -3.23 eV per atom. The value obtained for the mass density is 4.6 g cm⁻³. The density of states at the Fermi level comes out at 14.15 states/eV per cell. Its formation energy from the elements is -6 kJ/mol of atoms. The space group is P2_1/c. Its energy above the lowest structure with this stoichiometry is 0.50 eV per formula unit.



[2]
PuThZr2As4: optimized geometry, GGA-PBE.

Structure (POSCAR):
```
PuThZr2As4
1.0
6.9769 0.0000 0.0000
0.0000 4.0238 0.0000
-2.3170 0.0000 6.6055
Pu Th Zr As
1 1 2 4
direct
0.0000 0.0000 0.0000
0.5000 0.5000 0.0000
0.0000 0.5000 0.5000
0.5000 0.0000 0.5000
0.2394 0.0000 0.7288
0.2520 0.5000 0.2675
0.7480 0.5000 0.7325
0.7606 0.0000 0.2712
```

Results
The calculation puts the energy at -8.37 eV per atom. The value obtained for the mass density is 8.6 g cm⁻³. The density of states at the Fermi level comes out at 11.95 states/eV per cell. Its formation energy from the elements is -115 kJ/mol of atoms. The space group is P2/m.